Version one
Compound: LaSmHo3
Source: Alexandria via LeMat-Bulk
Functional: PBE-GGA
Structure: relaxed

Lattice parameters (Å, degrees): 3.6650 8.6119 11.6379 90.00 90.00 102.28
Fractional positions:
Ho: 0.3515 0.2057 0.7500
Ho: 0.8434 0.1875 0.9965
Ho: 0.6485 0.7943 0.2500
Ho: 0.1566 0.8125 0.0035
Ho: 0.1566 0.8125 0.4965
Ho: 0.8434 0.1875 0.5035
Sm: 0.0124 0.5317 0.7500
Sm: 0.9876 0.4683 0.2500
La: 0.3107 0.1207 0.2500
La: 0.6893 0.8793 0.7500

Total moment ... 0.0 Bohr magnetons per cell
Fermi-level density of states ... 15.61 states/eV/cell



Version two
Compound: LaSmHo3
Source: Alexandria via LeMat-Bulk
Functional: PBE-GGA
Structure: relaxed

Lattice parameters (Å, degrees): 6.7362 8.8233 9.0723 119.86 119.96 100.34
Fractional positions:
Sm: 0.9703 0.8855 0.2206
Sm: 0.0297 0.1145 0.7794
La: 0.5338 0.0983 0.2417
La: 0.4662 0.9017 0.7583
Ho: 0.6535 0.3359 0.7391
Ho: 0.1607 0.3235 0.3170
Ho: 0.2614 0.5113 0.8025
Ho: 0.3465 0.6641 0.2609
Ho: 0.7386 0.4887 0.1975
Ho: 0.8393 0.6765 0.6830

Total moment ... 0.0 Bohr magnetons per cell
Fermi-level density of states ... 16.11 states/eV/cell



version two comes first in stability; the runner-up is 0.244 eV/atom higher.



Version one
Compound: La4Sm7Ho
Source: Alexandria via LeMat-Bulk
Functional: PBE-GGA
Structure: relaxed

Lattice parameters (Å, degrees): 6.0939 11.9917 6.8213 83.93 63.47 75.28
Fractional positions:
La: 0.6399 0.2217 0.4985
La: 0.3601 0.7783 0.5015
La: 0.2168 0.3368 0.2295
La: 0.7832 0.6632 0.7705
Sm: 0.6330 0.5046 0.2294
Sm: 0.2125 0.0767 0.4982
Sm: 0.0708 0.6922 0.1662
Sm: 0.3670 0.4954 0.7706
Sm: 0.5000 0.0000 0.0000
Sm: 0.7875 0.9233 0.5018
Sm: 0.9292 0.3078 0.8338
Ho: 0.0000 0.0000 0.0000

Total moment ... 0.0 Bohr magnetons per cell
Fermi-level density of states ... 20.99 states/eV/cell



Version two
Compound: La4Sm7Ho
Source: Alexandria via LeMat-Bulk
Functional: PBE-GGA
Structure: relaxed

Lattice parameters (Å, degrees): 3.6576 3.6576 35.9102 90.00 90.00 120.00
Fractional positions:
Sm: 0.6667 0.3333 0.5802
Sm: 0.3333 0.6667 0.4198
Sm: 0.0000 0.0000 0.7499
Sm: 0.3333 0.6667 0.1684
Sm: 0.0000 0.0000 0.2501
Sm: 0.6667 0.3333 0.8316
Sm: 0.0000 0.0000 0.0000
La: 0.3333 0.6667 0.9160
La: 0.6667 0.3333 0.0840
La: 0.3333 0.6667 0.6653
La: 0.6667 0.3333 0.3347
Ho: 0.0000 0.0000 0.5000

Total moment ... 0.0 Bohr magnetons per cell
Fermi-level density of states ... 19.37 states/eV/cell



version two comes first in stability; the runner-up is 0.220 eV/atom higher.



Version one
Compound: La2Sm2Ho5
Source: Alexandria via LeMat-Bulk
Functional: PBE-GGA
Structure: relaxed

Lattice parameters (Å, degrees): 11.9626 6.7559 10.1797 109.38 125.98 90.00
Fractional positions:
Ho: 0.1931 0.1489 0.8942
Ho: 0.3751 0.0301 0.2856
Ho: 0.9905 0.1612 0.5000
Ho: 0.5894 0.2445 0.7144
Ho: 0.4106 0.5301 0.2856
Ho: 0.8069 0.2547 0.1058
Ho: 0.7989 0.7547 0.1058
Ho: 0.0095 0.6612 0.5000
Ho: 0.2011 0.6489 0.8942
Ho: 0.6249 0.7445 0.7144
La: 0.6253 0.1884 0.2545
La: 0.3747 0.9339 0.7455
La: 0.1291 0.6884 0.2545
La: 0.8708 0.4339 0.7455
Sm: 0.7421 0.8537 0.5000
Sm: 0.2579 0.3537 0.5000
Sm: 0.0000 0.0206 0.0000
Sm: 0.5000 0.5206 0.0000

Total moment ... 0.0 Bohr magnetons per cell
Fermi-level density of states ... 30.77 states/eV/cell



Version two
Compound: La2Sm2Ho5
Source: Alexandria via LeMat-Bulk
Functional: PBE-GGA
Structure: relaxed

Lattice parameters (Å, degrees): 3.5048 8.3527 12.5793 120.48 98.01 90.00
Fractional positions:
Ho: 0.6907 0.8508 0.3813
Ho: 0.0000 0.0000 0.0000
Ho: 0.3093 0.1492 0.6187
Ho: 0.0981 0.4606 0.1962
Ho: 0.9019 0.5394 0.8038
Sm: 0.4541 0.2648 0.9082
Sm: 0.5459 0.7352 0.0918
La: 0.8176 0.7787 0.6351
La: 0.1824 0.2213 0.3649

Total moment ... 0.0 Bohr magnetons per cell
Fermi-level density of states ... 13.29 states/eV/cell



version one comes first in stability; the runner-up is 0.020 eV/atom higher.



Version one
Compound: LaSm3Ho6
Source: Alexandria via LeMat-Bulk
Functional: PBE-GGA
Structure: relaxed

Lattice parameters (Å, degrees): 9.9109 9.9109 6.9104 44.18 44.18 60.00
Fractional positions:
Ho: 0.4003 0.7259 0.7994
Ho: 0.2299 0.9003 0.2995
Ho: 0.0744 0.4003 0.7994
Ho: 0.9003 0.5703 0.2995
Ho: 0.5703 0.2299 0.2995
Ho: 0.7259 0.0744 0.7994
Sm: 0.3998 0.3998 0.8007
Sm: 0.6478 0.6478 0.0567
Sm: 0.1515 0.1515 0.5456
La: 0.8998 0.8998 0.3005

Total moment ... 0.0 Bohr magnetons per cell
Fermi-level density of states ... 21.62 states/eV/cell



Version two
Compound: LaSm3Ho6
Source: Alexandria via LeMat-Bulk
Functional: PBE-GGA
Structure: relaxed

Lattice parameters (Å, degrees): 8.9735 9.0551 9.0551 116.51 90.00 90.00
Fractional positions:
Sm: 0.8120 0.5516 0.4484
Sm: 0.9922 0.6908 0.8129
Sm: 0.3120 0.4484 0.5516
Sm: 0.4922 0.3093 0.1871
Sm: 0.4922 0.8129 0.6908
Sm: 0.9922 0.1871 0.3093
Ho: 0.1643 0.4704 0.1819
Ho: 0.8246 0.9733 0.6758
Ho: 0.9484 0.7845 0.2155
Ho: 0.3246 0.6758 0.9733
Ho: 0.6643 0.1819 0.4704
Ho: 0.1643 0.8181 0.5296
Ho: 0.1804 0.0494 0.9506
Ho: 0.6643 0.5296 0.8181
Ho: 0.3246 0.0267 0.3242
Ho: 0.6804 0.9506 0.0494
Ho: 0.8246 0.3242 0.0267
Ho: 0.4484 0.2155 0.7845
La: 0.5823 0.7250 0.2750
La: 0.0823 0.2750 0.7250

Total moment ... 0.0 Bohr magnetons per cell
Fermi-level density of states ... 24.70 states/eV/cell



version two comes first in stability; the runner-up is 0.163 eV/atom higher.



Version one
Compound: La3Sm4Ho5
Source: Alexandria via LeMat-Bulk
Functional: PBE-GGA
Structure: relaxed

Lattice parameters (Å, degrees): 7.2225 11.4195 13.0301 151.29 56.55 129.04
Fractional positions:
Ho: 0.5000 0.0000 0.5000
Ho: 0.6692 0.3333 0.1645
Ho: 0.3308 0.6667 0.8355
Ho: 0.2507 0.4977 0.9979
Ho: 0.7493 0.5023 0.0021
Sm: 0.8313 0.6622 0.8314
Sm: 0.0820 0.1618 0.3296
Sm: 0.9180 0.8382 0.6704
Sm: 0.1687 0.3378 0.1686
La: 0.5824 0.1644 0.3324
La: 0.0000 0.0000 0.5000
La: 0.4176 0.8356 0.6676

Total moment ... 0.0 Bohr magnetons per cell
Fermi-level density of states ... 17.16 states/eV/cell



Version two
Compound: La3Sm4Ho5
Source: Alexandria via LeMat-Bulk
Functional: PBE-GGA
Structure: relaxed

Lattice parameters (Å, degrees): 6.0146 8.6248 9.7678 105.52 72.07 69.59
Fractional positions:
Ho: 0.6244 0.9473 0.8039
Ho: 0.5000 0.5000 0.5000
Ho: 0.3756 0.0527 0.1961
Ho: 0.2178 0.4539 0.1105
Ho: 0.7822 0.5461 0.8895
Sm: 0.8290 0.9645 0.3774
Sm: 0.8602 0.2230 0.0567
Sm: 0.1710 0.0355 0.6226
Sm: 0.1398 0.7770 0.9433
La: 0.0000 0.5000 0.5000
La: 0.5216 0.6872 0.2696
La: 0.4784 0.3128 0.7304

Total moment ... 0.0 Bohr magnetons per cell
Fermi-level density of states ... 19.45 states/eV/cell



version one comes first in stability; the runner-up is 0.209 eV/atom higher.



Version one
Compound: La4Sm2Ho
Source: Alexandria via LeMat-Bulk
Functional: PBE-GGA
Structure: relaxed

Lattice parameters (Å, degrees): 6.9655 9.1725 9.1725 79.06 67.69 67.69
Fractional positions:
Sm: 0.7164 0.0336 0.5336
Sm: 0.5000 0.5000 0.5000
Sm: 0.5000 0.0000 0.0000
Sm: 0.2836 0.9664 0.4664
La: 0.8509 0.6455 0.6527
La: 0.1491 0.8473 0.8545
La: 0.2258 0.2431 0.7431
La: 0.1491 0.3545 0.3473
La: 0.7880 0.2431 0.7431
La: 0.7742 0.7569 0.2569
La: 0.2120 0.7569 0.2569
La: 0.8509 0.1527 0.1455
Ho: 0.5000 0.5000 0.0000
Ho: 0.0000 0.5000 0.0000

Total moment ... 0.0 Bohr magnetons per cell
Fermi-level density of states ... 19.12 states/eV/cell



Version two
Compound: La4Sm2Ho
Source: Alexandria via LeMat-Bulk
Functional: PBE-GGA
Structure: relaxed

Lattice parameters (Å, degrees): 8.6966 6.8254 8.8551 100.03 91.07 105.96
Fractional positions:
Sm: 0.0695 0.3396 0.7333
Sm: 0.6121 0.1979 0.3446
Sm: 0.6591 0.4329 0.7364
Sm: 0.6660 0.7051 0.1862
La: 0.0258 0.1091 0.3204
La: 0.9936 0.8224 0.9051
La: 0.9602 0.6141 0.4498
La: 0.3107 0.0220 0.5940
La: 0.7203 0.9321 0.6205
La: 0.2481 0.7519 0.1957
La: 0.3542 0.2655 0.0352
La: 0.4326 0.7732 0.8714
Ho: 0.3734 0.5148 0.4746
Ho: 0.8244 0.2693 0.0330

Total moment ... 0.0 Bohr magnetons per cell
Fermi-level density of states ... 22.38 states/eV/cell



version two comes first in stability; the runner-up is 0.138 eV/atom higher.



Version one
Compound: La2Sm12Ho5
Source: Alexandria via LeMat-Bulk
Functional: PBE-GGA
Structure: relaxed

Lattice parameters (Å, degrees): 10.0316 9.5304 7.9523 89.97 90.00 121.76
Fractional positions:
La: 0.2110 0.0000 0.0000
La: 0.7890 0.0000 0.0000
Sm: 0.8357 0.6715 0.1248
Sm: 0.4263 0.3876 0.2063
Sm: 0.8324 0.2122 0.6100
Sm: 0.1676 0.7878 0.3900
Sm: 0.0387 0.6124 0.7937
Sm: 0.5511 0.1023 0.2894
Sm: 0.1643 0.3285 0.8752
Sm: 0.9613 0.3876 0.2063
Sm: 0.3797 0.2122 0.6100
Sm: 0.4489 0.8977 0.7106
Sm: 0.5737 0.6124 0.7937
Sm: 0.6202 0.7878 0.3900
Ho: 0.2477 0.4954 0.5079
Ho: 0.0000 0.0000 0.5000
Ho: 0.7523 0.5046 0.4921
Ho: 0.3534 0.7068 0.0821
Ho: 0.6466 0.2932 0.9179

Total moment ... 0.0 Bohr magnetons per cell
Fermi-level density of states ... 25.68 states/eV/cell



Version two
Compound: La2Sm12Ho5
Source: Alexandria via LeMat-Bulk
Functional: PBE-GGA
Structure: relaxed

Lattice parameters (Å, degrees): 9.3521 12.5933 8.6926 132.85 90.00 111.80
Fractional positions:
Sm: 0.0242 0.6886 0.9286
Sm: 0.4334 0.2509 0.5931
Sm: 0.6644 0.6886 0.9286
Sm: 0.9093 0.8186 0.7001
Sm: 0.5666 0.7491 0.4069
Sm: 0.3356 0.3114 0.0714
Sm: 0.0907 0.1814 0.2999
Sm: 0.1826 0.7491 0.4069
Sm: 0.8174 0.2509 0.5931
Sm: 0.9758 0.3114 0.0714
Sm: 0.5637 0.1274 0.7932
Sm: 0.4363 0.8726 0.2068
Ho: 0.0000 0.0000 0.5000
Ho: 0.6997 0.3994 0.3831
Ho: 0.2305 0.4610 0.8887
Ho: 0.3003 0.6006 0.6169
Ho: 0.7695 0.5390 0.1113
La: 0.3213 0.0000 0.0000
La: 0.6787 0.0000 0.0000

Total moment ... 0.0 Bohr magnetons per cell
Fermi-level density of states ... 27.63 states/eV/cell



version one comes first in stability; the runner-up is 0.009 eV/atom higher.



Version one
Compound: La4Sm3Ho
Source: Alexandria via LeMat-Bulk
Functional: PBE-GGA
Structure: relaxed

Lattice parameters (Å, degrees): 3.5093 6.2994 12.8954 93.28 97.82 90.00
Fractional positions:
Sm: 0.0000 0.5000 0.0000
Sm: 0.8576 0.2558 0.7151
Sm: 0.1424 0.7442 0.2849
La: 0.8948 0.7648 0.7897
La: 0.1052 0.2352 0.2103
La: 0.2801 0.7547 0.5601
La: 0.7199 0.2453 0.4399
Ho: 0.5000 0.0000 0.0000

Total moment ... 0.0 Bohr magnetons per cell
Fermi-level density of states ... 12.47 states/eV/cell



Version two
Compound: La4Sm3Ho
Source: Alexandria via LeMat-Bulk
Functional: PBE-GGA
Structure: relaxed

Lattice parameters (Å, degrees): 5.9976 7.6062 7.6062 125.49 90.00 90.00
Fractional positions:
Sm: 0.0000 0.0000 0.5000
Sm: 0.0000 0.5000 0.0000
Sm: 0.5000 0.5000 0.5000
Ho: 0.5000 0.0000 0.0000
La: 0.0000 0.2222 0.2222
La: 0.0000 0.7778 0.7778
La: 0.5000 0.7526 0.2474
La: 0.5000 0.2474 0.7526

Total moment ... 0.0 Bohr magnetons per cell
Fermi-level density of states ... 17.27 states/eV/cell



version one comes first in stability; the runner-up is 0.139 eV/atom higher.



Version one
Compound: La3Sm2Ho8
Source: Alexandria via LeMat-Bulk
Functional: PBE-GGA
Structure: relaxed

Lattice parameters (Å, degrees): 5.5982 6.8849 12.3457 68.68 103.13 90.02
Fractional positions:
Ho: 0.0775 0.4398 0.1552
Ho: 0.3752 0.2776 0.7492
Ho: 0.3326 0.8211 0.6650
Ho: 0.6674 0.1789 0.3350
Ho: 0.6248 0.7224 0.2508
Ho: 0.8227 0.0950 0.6450
Ho: 0.1773 0.9050 0.3550
Ho: 0.9225 0.5602 0.8448
Sm: 0.2281 0.3507 0.4560
Sm: 0.7719 0.6493 0.5440
La: 0.0000 0.0000 0.0000
La: 0.5117 0.2717 0.0237
La: 0.4883 0.7283 0.9763

Total moment ... 0.0 Bohr magnetons per cell
Fermi-level density of states ... 19.68 states/eV/cell



Version two
Compound: La3Sm2Ho8
Source: Alexandria via LeMat-Bulk
Functional: PBE-GGA
Structure: relaxed

Lattice parameters (Å, degrees): 5.6505 7.7327 10.8944 110.79 90.02 90.00
Fractional positions:
Ho: 0.4998 0.5992 0.7817
Ho: 0.9997 0.1354 0.2708
Ho: 0.0007 0.6700 0.3400
Ho: 0.4998 0.1825 0.7817
Ho: 0.5002 0.4008 0.2183
Ho: 0.5002 0.8175 0.2183
Ho: 0.9993 0.3300 0.6600
Ho: 0.0003 0.8646 0.7292
La: 0.0000 0.7004 0.0000
La: 0.0000 0.2996 0.0000
La: 0.5000 0.0000 0.0000
Sm: 0.4992 0.2412 0.4824
Sm: 0.5008 0.7588 0.5176

Total moment ... 0.0 Bohr magnetons per cell
Fermi-level density of states ... 23.91 states/eV/cell



version one comes first in stability; the runner-up is 0.171 eV/atom higher.



Version one
Compound: LaSm3Ho7
Source: Alexandria via LeMat-Bulk
Functional: PBE-GGA
Structure: relaxed

Lattice parameters (Å, degrees): 8.6916 7.0685 7.0685 120.00 90.00 90.00
Fractional positions:
Ho: 0.1208 0.6667 0.3333
Ho: 0.1180 0.6660 0.8330
Ho: 0.4460 0.3352 0.1676
Ho: 0.4460 0.8324 0.1676
Ho: 0.4460 0.8324 0.6648
Ho: 0.1180 0.1670 0.3340
Ho: 0.1180 0.1670 0.8330
La: 0.4460 0.3333 0.6667
Sm: 0.7854 0.9988 0.4994
Sm: 0.7854 0.5006 0.4994
Sm: 0.7854 0.5006 0.0012

Total moment ... 0.0 Bohr magnetons per cell
Fermi-level density of states ... 17.52 states/eV/cell



Version two
Compound: LaSm3Ho7
Source: Alexandria via LeMat-Bulk
Functional: PBE-GGA
Structure: relaxed

Lattice parameters (Å, degrees): 8.9150 9.9757 5.5522 90.02 128.49 105.19
Fractional positions:
Ho: 0.5000 0.0000 0.5000
Ho: 0.0777 0.1692 0.0778
Ho: 0.6446 0.2882 0.1443
Ho: 0.8246 0.6408 0.3244
Ho: 0.9223 0.8308 0.9222
Ho: 0.3554 0.7118 0.8557
Ho: 0.1754 0.3592 0.6756
La: 0.5000 0.5000 0.5000
Sm: 0.7811 0.9976 0.2806
Sm: 0.2189 0.0024 0.7194
Sm: 0.0000 0.5000 0.0000

Total moment ... 0.0 Bohr magnetons per cell
Fermi-level density of states ... 17.13 states/eV/cell



version two comes first in stability; the runner-up is 0.045 eV/atom higher.